[1]
# CdInAu2 PBE-GGA relaxed
data_CdInAu2
_chemical_formula_sum 'Cd1 In1 Au2'
_cell_length_a 4.599
_cell_length_b 4.599
_cell_length_c 3.807
_cell_angle_alpha 90.00
_cell_angle_beta 90.00
_cell_angle_gamma 90.00
_space_group_name_H-M_alt 'P 1'
_space_group_IT_number 1
loop_
_space_group_symop_operation_xyz
'x,y,z'
loop_
_atom_site_label
_atom_site_type_symbol
_atom_site_fract_x
_atom_site_fract_y
_atom_site_fract_z
Cd1 Cd 0.000 0.000 0.000
In1 In 0.500 0.500 0.000
Au1 Au 0.000 0.500 0.500
Au2 Au 0.500 0.000 0.500
# - Total moment: 0.0 μB per cell

***

[2]
# Cd2InAu PBE-GGA relaxed
data_Cd2InAu
_chemical_formula_sum 'Cd2 In1 Au1'
_cell_length_a 5.099
_cell_length_b 5.099
_cell_length_c 5.070
_cell_angle_alpha 100.33
_cell_angle_beta 100.33
_cell_angle_gamma 43.48
_space_group_name_H-M_alt 'P 1'
_space_group_IT_number 1
loop_
_space_group_symop_operation_xyz
'x,y,z'
loop_
_atom_site_label
_atom_site_type_symbol
_atom_site_fract_x
_atom_site_fract_y
_atom_site_fract_z
Cd1 Cd 0.000 0.000 0.000
Cd2 Cd 0.246 0.246 0.754
In1 In 0.759 0.759 0.281
Au1 Au 0.501 0.501 0.511
# - Total moment: 0.0 μB per cell

***

[3]
# Cd2InAu2 PBE-GGA relaxed
data_Cd2InAu2
_chemical_formula_sum 'Cd4 In2 Au4'
_cell_length_a 4.763
_cell_length_b 4.740
_cell_length_c 9.901
_cell_angle_alpha 90.00
_cell_angle_beta 90.09
_cell_angle_gamma 90.00
_space_group_name_H-M_alt 'P 1'
_space_group_IT_number 1
loop_
_space_group_symop_operation_xyz
'x,y,z'
loop_
_atom_site_label
_atom_site_type_symbol
_atom_site_fract_x
_atom_site_fract_y
_atom_site_fract_z
Cd1 Cd 0.249 0.250 0.002
Cd2 Cd 0.250 0.250 0.321
Cd3 Cd 0.750 0.750 0.679
Cd4 Cd 0.751 0.750 0.998
In1 In 0.254 0.250 0.679
In2 In 0.746 0.750 0.321
Au1 Au 0.246 0.750 0.489
Au2 Au 0.250 0.750 0.839
Au3 Au 0.750 0.250 0.161
Au4 Au 0.754 0.250 0.511
# - Total moment: 0.0 μB per cell
# - Distance to the lowest polymorph of the same formula: 0.0 meV/atom

***

[4]
# Cd3InAu12 PBE-GGA relaxed
data_Cd3InAu12
_chemical_formula_sum 'Cd3 In1 Au12'
_cell_length_a 5.908
_cell_length_b 5.908
_cell_length_c 9.872
_cell_angle_alpha 90.00
_cell_angle_beta 90.00
_cell_angle_gamma 120.00
_space_group_name_H-M_alt 'P 1'
_space_group_IT_number 1
loop_
_space_group_symop_operation_xyz
'x,y,z'
loop_
_atom_site_label
_atom_site_type_symbol
_atom_site_fract_x
_atom_site_fract_y
_atom_site_fract_z
Cd1 Cd 0.000 0.000 0.000
Cd2 Cd 0.667 0.333 0.248
Cd3 Cd 0.667 0.333 0.752
In1 In 0.333 0.667 0.500
Au1 Au 0.002 0.501 0.000
Au2 Au 0.167 0.333 0.248
Au3 Au 0.167 0.333 0.752
Au4 Au 0.167 0.833 0.248
Au5 Au 0.167 0.833 0.752
Au6 Au 0.332 0.166 0.500
Au7 Au 0.499 0.501 0.000
Au8 Au 0.499 0.998 0.000
Au9 Au 0.667 0.833 0.248
Au10 Au 0.667 0.833 0.752
Au11 Au 0.834 0.166 0.500
Au12 Au 0.834 0.668 0.500
# - Total moment: 0.0 μB per cell
# - Distance to the lowest polymorph of the same formula: 0.0 meV/atom

***

[5]
# Cd2InAu PBE-GGA relaxed
data_Cd2InAu
_chemical_formula_sum 'Cd2 In1 Au1'
_cell_length_a 5.399
_cell_length_b 5.399
_cell_length_c 5.399
_cell_angle_alpha 131.35
_cell_angle_beta 131.35
_cell_angle_gamma 71.25
_space_group_name_H-M_alt 'P 1'
_space_group_IT_number 1
loop_
_space_group_symop_operation_xyz
'x,y,z'
loop_
_atom_site_label
_atom_site_type_symbol
_atom_site_fract_x
_atom_site_fract_y
_atom_site_fract_z
Cd1 Cd 0.000 0.000 0.000
Cd2 Cd 0.750 0.250 0.500
In1 In 0.500 0.500 0.000
Au1 Au 0.250 0.750 0.500
# - Total moment: 0.0 μB per cell

***

[6]
# Cd3InAu PBE-GGA relaxed
data_Cd3InAu
_chemical_formula_sum 'Cd3 In1 Au1'
_cell_length_a 5.308
_cell_length_b 5.308
_cell_length_c 5.308
_cell_angle_alpha 90.00
_cell_angle_beta 90.00
_cell_angle_gamma 90.00
_space_group_name_H-M_alt 'P 1'
_space_group_IT_number 1
loop_
_space_group_symop_operation_xyz
'x,y,z'
loop_
_atom_site_label
_atom_site_type_symbol
_atom_site_fract_x
_atom_site_fract_y
_atom_site_fract_z
Cd1 Cd 0.000 0.000 0.500
Cd2 Cd 0.000 0.500 0.000
Cd3 Cd 0.500 0.000 0.000
In1 In 0.500 0.500 0.500
Au1 Au 0.000 0.000 0.000
# - Total moment: 0.0 μB per cell
# - Distance to the lowest polymorph of the same formula: 167.1 meV/atom

***

[7]
# Cd12In5Au3 PBE-GGA relaxed
data_Cd12In5Au3
_chemical_formula_sum 'Cd48 In20 Au12'
_cell_length_a 14.505
_cell_length_b 14.505
_cell_length_c 14.505
_cell_angle_alpha 109.47
_cell_angle_beta 109.47
_cell_angle_gamma 109.47
_space_group_name_H-M_alt 'P 1'
_space_group_IT_number 1
loop_
_space_group_symop_operation_xyz
'x,y,z'
loop_
_atom_site_label
_atom_site_type_symbol
_atom_site_fract_x
_atom_site_fract_y
_atom_site_fract_z
Cd1 Cd 0.070 0.643 0.408
Cd2 Cd 0.070 0.927 0.663
Cd3 Cd 0.073 0.236 0.143
Cd4 Cd 0.073 0.337 0.930
Cd5 Cd 0.092 0.736 0.663
Cd6 Cd 0.092 0.857 0.430
Cd7 Cd 0.143 0.073 0.236
Cd8 Cd 0.143 0.570 0.908
Cd9 Cd 0.163 0.236 0.592
Cd10 Cd 0.163 0.427 0.570
Cd11 Cd 0.236 0.143 0.073
Cd12 Cd 0.236 0.592 0.163
Cd13 Cd 0.264 0.337 0.908
Cd14 Cd 0.264 0.427 0.357
Cd15 Cd 0.337 0.908 0.264
Cd16 Cd 0.337 0.930 0.073
Cd17 Cd 0.357 0.264 0.427
Cd18 Cd 0.357 0.592 0.930
Cd19 Cd 0.408 0.070 0.643
Cd20 Cd 0.408 0.837 0.764
Cd21 Cd 0.427 0.357 0.264
Cd22 Cd 0.427 0.570 0.163
Cd23 Cd 0.430 0.092 0.857
Cd24 Cd 0.430 0.837 0.573
Cd25 Cd 0.570 0.163 0.427
Cd26 Cd 0.570 0.908 0.143
Cd27 Cd 0.573 0.430 0.837
Cd28 Cd 0.573 0.643 0.736
Cd29 Cd 0.592 0.163 0.236
Cd30 Cd 0.592 0.930 0.357
Cd31 Cd 0.643 0.408 0.070
Cd32 Cd 0.643 0.736 0.573
Cd33 Cd 0.663 0.070 0.927
Cd34 Cd 0.663 0.092 0.736
Cd35 Cd 0.736 0.573 0.643
Cd36 Cd 0.736 0.663 0.092
Cd37 Cd 0.764 0.408 0.837
Cd38 Cd 0.764 0.857 0.927
Cd39 Cd 0.837 0.573 0.430
Cd40 Cd 0.837 0.764 0.408
Cd41 Cd 0.857 0.430 0.092
Cd42 Cd 0.857 0.927 0.764
Cd43 Cd 0.908 0.143 0.570
Cd44 Cd 0.908 0.264 0.337
Cd45 Cd 0.927 0.663 0.070
Cd46 Cd 0.927 0.764 0.857
Cd47 Cd 0.930 0.073 0.337
Cd48 Cd 0.930 0.357 0.592
In1 In 0.000 0.000 0.000
In2 In 0.000 0.000 0.500
In3 In 0.000 0.500 0.000
In4 In 0.000 0.500 0.500
In5 In 0.125 0.750 0.875
In6 In 0.125 0.875 0.250
In7 In 0.250 0.125 0.875
In8 In 0.250 0.625 0.375
In9 In 0.375 0.250 0.625
In10 In 0.375 0.625 0.750
In11 In 0.500 0.000 0.000
In12 In 0.500 0.000 0.500
In13 In 0.500 0.500 0.000
In14 In 0.500 0.500 0.500
In15 In 0.625 0.375 0.250
In16 In 0.625 0.750 0.375
In17 In 0.750 0.375 0.625
In18 In 0.750 0.875 0.125
In19 In 0.875 0.125 0.750
In20 In 0.875 0.250 0.125
Au1 Au 0.125 0.250 0.375
Au2 Au 0.125 0.375 0.750
Au3 Au 0.250 0.375 0.125
Au4 Au 0.250 0.875 0.625
Au5 Au 0.375 0.125 0.250
Au6 Au 0.375 0.750 0.125
Au7 Au 0.625 0.250 0.875
Au8 Au 0.625 0.875 0.750
Au9 Au 0.750 0.125 0.375
Au10 Au 0.750 0.625 0.875
Au11 Au 0.875 0.625 0.250
Au12 Au 0.875 0.750 0.625
# - Total moment: 0.0 μB per cell

***

[8]
# CdInAu2 PBE-GGA relaxed
data_CdInAu2
_chemical_formula_sum 'Cd1 In1 Au2'
_cell_length_a 4.688
_cell_length_b 4.688
_cell_length_c 3.743
_cell_angle_alpha 90.19
_cell_angle_beta 90.19
_cell_angle_gamma 99.52
_space_group_name_H-M_alt 'P 1'
_space_group_IT_number 1
loop_
_space_group_symop_operation_xyz
'x,y,z'
loop_
_atom_site_label
_atom_site_type_symbol
_atom_site_fract_x
_atom_site_fract_y
_atom_site_fract_z
Cd1 Cd 0.000 0.000 0.000
In1 In 0.500 0.500 0.000
Au1 Au 0.000 0.500 0.500
Au2 Au 0.500 0.000 0.500
# - Total moment: 0.0 μB per cell

***

E_form / eV per atom: -0.129; -0.076; -0.184; -0.126; -0.047; 0.091; 0.136; -0.138